Computed, not measured: NdGe2Pt6 after structural relaxation at the GGA-PBE level of DFT.

Cell lengths 5.5662, 5.5662, 6.7015 Å; angles 90.00, 90.00, 120.00 degrees
Space group P6/mmm (No. 191)
Unique sites:
Nd 0.0000 0.0000 0.0000
Ge 0.3333 0.6667 0.5000
Pt 0.0000 0.5000 0.2118

Properties
Density of states at the Fermi level (states/eV/f.u.): 4.0
Size of the total moment (μB per atom): 0.000
Mass density (g/cm3): 13.48
Energy of formation (kJ/mol of formula units): -536.7
Electronic total energy (eV/f.u.): -55.810



Computed, not measured: Na3CuTe after structural relaxation at the GGA-PBE level of DFT.

Cell lengths 5.835, 5.835, 5.835 Å; angles 90.00, 90.00, 90.00 degrees
Space group Pm-3m (No. 221)
Unique sites:
Na 0.000 0.000 0.500
Cu 0.500 0.500 0.500
Te 0.000 0.000 0.000

Properties
Density of states at the Fermi level (states/eV/f.u.): 0.0
Size of the total moment (μB per atom): 0.000
Mass density (g/cm3): 2.17
Formation energy from raw total energies (meV/atom): -117
Relative energy among the computed polymorphs (meV per atom): 0.0
Electronic total energy (eV/f.u.): -11.779



Computed, not measured: Dy4TmZn5 after structural relaxation at the GGA-PBE level of DFT.

Cell lengths 3.558, 3.558, 17.795 Å; angles 90.00, 90.00, 90.00 degrees
Space group P4/mmm (No. 123)
Unique sites:
Dy 0.000 0.000 0.101
Dy 0.000 0.000 0.301
Tm 0.000 0.000 0.500
Zn 0.500 0.500 0.000
Zn 0.500 0.500 0.201
Zn 0.500 0.500 0.403

Properties
Density of states at the Fermi level (states/eV/f.u.): 11.6
Size of the total moment (μB per atom): 0.000
Mass density (g/cm3): 8.45
Energy of formation (kJ/mol of formula units): -329.2
Electronic total energy (eV/f.u.): -32.662



Computed, not measured: Nd8Co2Ag after structural relaxation at the GGA-PBE level of DFT.

Cell lengths 8.436, 13.575, 5.791 Å; angles 90.00, 106.04, 90.00 degrees
Space group C2/m (No. 12)
Unique sites:
Nd 0.000 0.239 0.000
Nd 0.111 0.500 0.811
Nd 0.212 0.128 0.567
Co 0.000 0.287 0.500
Ag 0.000 0.000 0.000

Properties
Density of states at the Fermi level (states/eV/f.u.): 13.0
Size of the total moment (μB per atom): 0.000
Mass density (g/cm3): 7.19
Energy of formation (kJ/mol of formula units): 17.8
Electronic total energy (eV/f.u.): -55.021



Computed, not measured: ScPd6Au12 after structural relaxation at the GGA-PBE level of DFT.

Cell lengths 11.2542, 11.2542, 9.3301 Å; angles 90.00, 90.00, 120.00 degrees
Space group R-3 (No. 148, hexagonal axes)
Unique sites:
Sc 0.0000 0.0000 0.0000
Pd 0.0831 0.1679 0.7528
Au 0.0005 0.2597 0.0005
Au 0.0730 0.5353 0.1192

Properties
Density of states at the Fermi level (states/eV/f.u.): 7.9
Size of the total moment (μB per atom): 0.000
Mass density (g/cm3): 14.83
Energy of formation (kJ/mol of formula units): -196.5
Electronic total energy (eV/f.u.): -78.853



Computed, not measured: HfFe2Te2 after structural relaxation at the GGA-PBE level of DFT.

Cell lengths 3.807, 3.807, 12.710 Å; angles 90.00, 90.00, 90.00 degrees
Space group I4/mmm (No. 139)
Unique sites:
Hf 0.000 0.000 0.000
Fe 0.000 0.500 0.250
Te 0.000 0.000 0.374

Properties
Density of states at the Fermi level (states/eV/f.u.): 5.1
Size of the total moment (μB per atom): 0.000
Mass density (g/cm3): 9.83
Formation energy from raw total energies (meV/atom): 279
Electronic total energy (eV/f.u.): -31.768



Q: Among the records above, which one has the lowest mass density?
A: Na3CuTe